No. 1
{"formula": "SrTaGa", "functional": "PBE", "state": "relaxed", "lattice": [[0.000, 3.571, 3.571], [3.571, 0.000, 3.571], [3.571, 3.571, 0.000]], "species": ["Sr", "Ta", "Ga"], "frac_coords": [[0.000, 0.000, 0.000], [0.250, 0.250, 0.250], [0.750, 0.750, 0.750]], "relative_energy_mev_per_atom": 825}

---

No. 2
{"formula": "SrTaGa", "functional": "PBE", "state": "relaxed", "lattice": [[0.000, 3.422, 3.422], [3.422, 0.000, 3.422], [3.422, 3.422, 0.000]], "species": ["Sr", "Ta", "Ga"], "frac_coords": [[0.000, 0.000, 0.000], [0.500, 0.500, 0.500], [0.250, 0.250, 0.250]], "relative_energy_mev_per_atom": 0}

---

No. 3
{"formula": "SrGaTc", "functional": "PBE", "state": "relaxed", "lattice": [[0.000, 3.536, 3.536], [3.536, 0.000, 3.536], [3.536, 3.536, 0.000]], "species": ["Sr", "Ga", "Tc"], "frac_coords": [[0.000, 0.000, 0.000], [0.750, 0.750, 0.750], [0.250, 0.250, 0.250]], "relative_energy_mev_per_atom": 690}

---

No. 4
{"formula": "SrGa3Tc", "functional": "PBE", "state": "relaxed", "lattice": [[4.873, 0.000, 0.000], [0.000, 4.873, 0.000], [0.000, 0.000, 4.873]], "species": ["Sr", "Ga", "Ga", "Ga", "Tc"], "frac_coords": [[0.000, 0.000, 0.000], [0.000, 0.500, 0.500], [0.500, 0.000, 0.500], [0.500, 0.500, 0.000], [0.500, 0.500, 0.500]], "relative_energy_mev_per_atom": 48}

---

No. 5
{"formula": "SrGaTc", "functional": "PBE", "state": "relaxed", "lattice": [[0.000, 3.331, 3.331], [3.331, 0.000, 3.331], [3.331, 3.331, 0.000]], "species": ["Sr", "Ga", "Tc"], "frac_coords": [[0.000, 0.000, 0.000], [0.250, 0.250, 0.250], [0.500, 0.500, 0.500]], "relative_energy_mev_per_atom": 0}

---

No. 6
{"formula": "SrGa3Tc", "functional": "PBE", "state": "relaxed", "lattice": [[6.743, 0.000, 0.000], [0.000, 6.743, 0.000], [0.000, 0.000, 4.953]], "species": ["Sr", "Sr", "Ga", "Ga", "Ga", "Ga", "Ga", "Ga", "Tc", "Tc"], "frac_coords": [[0.250, 0.750, 0.000], [0.750, 0.250, 0.000], [0.000, 0.000, 0.500], [0.000, 0.500, 0.500], [0.250, 0.250, 0.103], [0.500, 0.000, 0.500], [0.500, 0.500, 0.500], [0.750, 0.750, 0.897], [0.250, 0.250, 0.616], [0.750, 0.750, 0.384]], "relative_energy_mev_per_atom": 0}

---

No. 7
{"formula": "SrGa2Tc", "functional": "PBE", "state": "relaxed", "lattice": [[0.000, 3.406, 3.406], [3.406, 0.000, 3.406], [3.406, 3.406, 0.000]], "species": ["Sr", "Ga", "Ga", "Tc"], "frac_coords": [[0.000, 0.000, 0.000], [0.500, 0.500, 0.500], [0.750, 0.750, 0.750], [0.250, 0.250, 0.250]], "total_energy_ev_per_fu": -16.10}

---

No. 8
{"formula": "SrUGa", "functional": "PBE", "state": "relaxed", "lattice": [[0.000, 3.651, 3.651], [3.651, 0.000, 3.651], [3.651, 3.651, 0.000]], "species": ["Sr", "U", "Ga"], "frac_coords": [[0.000, 0.000, 0.000], [0.500, 0.500, 0.500], [0.250, 0.250, 0.250]], "relative_energy_mev_per_atom": 0}

---

No. 9
{"formula": "Sr2Zn2Ga", "functional": "PBE", "state": "relaxed", "lattice": [[-1.979, 1.979, 8.649], [1.979, -1.979, 8.649], [1.979, 1.979, -8.649]], "species": ["Sr", "Sr", "Zn", "Zn", "Ga"], "frac_coords": [[0.102, 0.102, 0.000], [0.898, 0.898, 0.000], [0.250, 0.750, 0.500], [0.750, 0.250, 0.500], [0.500, 0.500, 0.000]], "total_energy_ev_per_fu": -9.38}

---

No. 10
{"formula": "Sr2ZnGa7", "functional": "PBE", "state": "relaxed", "lattice": [[4.439, 0.000, 0.000], [0.000, 4.439, 0.000], [0.000, 0.000, 10.890]], "species": ["Sr", "Sr", "Zn", "Ga", "Ga", "Ga", "Ga", "Ga", "Ga", "Ga"], "frac_coords": [[0.000, 0.500, 0.247], [0.500, 0.000, 0.753], [0.500, 0.500, 0.000], [0.000, 0.000, 0.000], [0.000, 0.000, 0.500], [0.000, 0.500, 0.635], [0.000, 0.500, 0.869], [0.500, 0.000, 0.131], [0.500, 0.000, 0.365], [0.500, 0.500, 0.500]], "total_energy_ev_per_fu": -29.92}

---

No. 11
{"formula": "SrZnGa2", "functional": "PBE", "state": "relaxed", "lattice": [[0.000, 3.529, 3.529], [3.529, 0.000, 3.529], [3.529, 3.529, 0.000]], "species": ["Sr", "Zn", "Ga", "Ga"], "frac_coords": [[0.000, 0.000, 0.000], [0.250, 0.250, 0.250], [0.500, 0.500, 0.500], [0.750, 0.750, 0.750]], "total_energy_ev_per_fu": -9.66}

---

No. 12
{"formula": "SrZrGa", "functional": "PBE", "state": "relaxed", "lattice": [[0.000, 3.581, 3.581], [3.581, 0.000, 3.581], [3.581, 3.581, 0.000]], "species": ["Sr", "Zr", "Ga"], "frac_coords": [[0.000, 0.000, 0.000], [0.250, 0.250, 0.250], [0.750, 0.750, 0.750]], "relative_energy_mev_per_atom": 802}